# 1
Hf12Sn5Pd3 | the Alexandria database | PBE-GGA | optimized geometry; energy of formation from the pure elements = 42.13 kJ/mol of atoms; space group = Ia-3d, No. 230; spin magnetization = 11.47 μB/cell
1.0
-1.338 4.708 13.259
-4.906 -13.229 -0.820
13.633 0.207 -3.719
Hf Pd Sn
48 12 20
Cartesian
2.273 -1.614 0.333
4.610 -6.754 4.905
-1.310 -4.636 1.222
4.945 -1.764 -0.916
12.122 0.150 -1.354
9.306 -0.422 -0.673
0.248 -11.875 -0.793
1.874 -1.968 8.434
-1.729 -4.457 8.649
4.664 -2.415 6.337
10.056 3.267 9.150
1.994 2.064 7.471
5.808 -2.651 3.290
2.444 -6.550 9.635
-2.184 -7.626 2.195
3.358 0.658 9.679
-1.917 -7.891 9.393
9.118 -3.857 0.071
9.177 -5.294 -2.508
-1.269 -4.067 4.119
-0.094 -0.380 6.910
5.515 -6.346 0.286
7.141 3.562 9.513
6.453 0.224 3.096
10.379 -1.584 3.829
-2.667 -11.580 -0.431
3.722 -9.484 4.213
8.031 -10.017 -0.641
5.395 -10.378 1.249
6.155 0.133 6.344
-4.733 -8.464 10.074
3.667 1.170 4.506
1.233 -8.447 2.375
0.579 -0.425 11.002
0.936 -8.538 5.624
1.580 -5.663 5.430
5.116 -6.700 8.387
2.725 -5.898 2.383
8.658 -4.246 4.601
-0.642 1.704 9.360
-1.788 -3.020 11.228
9.573 -0.688 6.524
8.699 -3.677 7.498
6.810 -7.888 -2.282
4.030 -8.971 -0.959
7.483 -7.934 1.810
-2.990 -6.730 4.891
2.778 -1.560 3.815
-0.160 -6.451 3.530
4.339 -8.027 2.033
3.050 -0.287 6.687
3.224 -7.915 6.902
8.528 -6.910 -0.452
-3.147 -5.776 10.522
4.165 -0.399 1.817
-1.139 -1.404 9.172
10.535 -2.537 -1.802
7.549 -1.863 5.190
5.765 -10.831 -1.849
1.624 2.518 10.569
1.401 -4.321 0.420
3.694 -4.157 4.360
10.312 2.059 6.587
-2.923 -10.372 2.133
-2.453 -6.614 -0.410
9.110 0.267 2.080
6.148 2.458 4.770
-0.024 -1.516 4.302
6.346 -3.654 0.683
6.817 0.104 -1.860
5.988 -3.993 8.300
7.413 -6.798 4.418
4.364 -6.511 -2.269
-1.721 -8.581 6.640
-3.122 -4.260 6.219
1.266 -9.255 -0.352
6.123 0.942 9.072
-0.669 2.354 6.629
0.000 0.000 0.000
1.042 -4.659 8.037



# 2
Mg5InHg2 | the Alexandria database | PBE-GGA | optimized geometry; energy of formation from the pure elements = -13.12 kJ/mol of atoms; space group = I4/mmm, No. 139; spin magnetization = 0.00 μB/cell
1.0
-2.433 2.902 -3.195
-3.761 0.375 3.204
6.184 4.187 2.937
In Mg Hg
1 5 2
Cartesian
0.000 0.000 0.000
-0.393 3.004 -0.813
-1.057 1.741 2.386
1.048 5.724 0.560
0.383 4.460 3.759
-3.097 1.639 0.004
-1.604 4.456 1.427
1.594 3.009 1.519



# 3
Pm4AgIr2 | the Alexandria database | PBE-GGA | optimized geometry; energy of formation from the pure elements = -48.62 kJ/mol of atoms; space group = Cc, No. 9; spin magnetization = 0.00 μB/cell
1.0
7.695 -1.086 -0.159
-1.637 7.596 0.156
-2.914 -3.362 6.373
Ir Pm Ag
4 8 2
Cartesian
-2.435 0.749 5.676
1.381 0.233 3.922
3.276 4.543 2.447
4.067 0.772 0.695
3.410 -2.262 4.666
-0.436 -1.722 4.778
1.460 2.586 1.592
6.109 -0.518 2.340
0.010 2.122 5.680
5.258 3.310 0.691
3.824 1.608 3.877
2.279 -1.212 1.548
-0.761 3.742 3.263
6.056 6.508 -0.001



# 4
IrWCl | the Alexandria database | PBE-GGA | optimized geometry; relative energy among the computed polymorphs = 15 meV/atom; space group = I4mm, No. 107; E_form (uncorrected) = 4.17 kcal/mol of atoms; spin magnetization = 0.00 μB/cell
1.0
-5.173 -3.258 -4.322
-3.476 -6.285 -2.113
2.916 5.056 4.689
W Cl Ir
1 1 1
Cartesian
-5.788 -6.386 -4.306
-0.436 -0.481 -0.325
-2.424 -2.675 -1.804



# 5
NpU4Os | the Alexandria database | PBE-GGA | optimized geometry; energy of formation from the pure elements = 5.35 kJ/mol of atoms; space group = C2/m, No. 12; spin magnetization = 0.00 μB/cell
1.0
-5.114 0.559 1.897
3.228 -4.422 0.290
1.674 4.066 3.307
U Os Np
4 1 1
Cartesian
-0.226 1.588 2.611
-2.331 -0.946 1.637
0.014 -1.385 2.883
2.120 1.149 3.857
0.000 0.000 0.000
2.451 -0.178 1.799



# 6
Er5Zn4Au | the Alexandria database | PBE-GGA | optimized geometry; energy of formation from the pure elements = -44.31 kJ/mol of atoms; space group = P4/mmm, No. 123; spin magnetization = 0.00 μB/cell
1.0
3.556 0.000 0.000
0.000 3.556 0.000
0.000 0.000 17.583
Zn Er Au
4 5 1
Cartesian
0.000 0.000 10.549
0.000 0.000 14.008
0.000 0.000 3.575
0.000 0.000 7.034
1.778 1.778 8.791
1.778 1.778 12.303
1.778 1.778 5.280
1.778 1.778 15.810
1.778 1.778 1.773
0.000 0.000 0.000



# 7
Hf3ZrOs2 | the Alexandria database | PBE-GGA | optimized geometry; energy of formation from the pure elements = -44.54 kJ/mol of atoms; space group = P4/mmm, No. 123; spin magnetization = 0.00 μB/cell
1.0
-1.611 2.415 -1.478
-2.118 -2.157 -1.214
-6.179 1.188 8.674
Hf Zr Os
3 1 2
Cartesian
0.000 0.000 0.000
-1.872 0.360 2.628
-4.307 0.828 6.047
-4.954 0.723 2.991
-7.100 1.135 6.004
-2.808 0.310 -0.022



# 8
NpBeBiO6 | the Alexandria database | PBE-GGA | optimized geometry; space group = P-31c, No. 163; E_form (uncorrected) = -46.98 kcal/mol of atoms; spin magnetization = 0.00 μB/cell
1.0
5.140 0.000 0.000
-2.570 4.451 0.000
0.000 0.000 10.191
Be O Bi Np
2 12 2 2
Cartesian
0.000 2.967 7.643
2.570 1.484 2.548
1.875 0.084 1.470
4.130 1.582 1.470
0.695 4.368 8.720
1.560 2.869 6.566
-1.560 2.869 8.720
3.265 0.084 3.625
0.865 1.666 8.720
-0.695 4.368 6.566
3.435 2.786 3.625
1.010 1.582 3.625
1.705 2.786 1.470
-0.865 1.666 6.566
0.000 0.000 0.000
0.000 0.000 5.095
0.000 2.967 2.548
2.570 1.484 7.643



# 9
GaAgSbOsPt | the Alexandria database | PBE-GGA | optimized geometry; relative energy among the computed polymorphs = 177 meV/atom; space group = Cm, No. 8; E_form (uncorrected) = 2.54 kcal/mol of atoms; spin magnetization = 0.00 μB/cell
1.0
5.998 0.000 0.152
0.000 4.284 0.000
-0.133 0.000 7.300
Ga Ag Pt Sb Os
2 2 2 2 2
Cartesian
3.051 0.000 1.146
2.984 2.142 4.796
4.375 2.142 7.249
4.442 0.000 3.599
2.756 2.142 2.339
2.689 0.000 5.989
0.146 2.142 4.675
0.213 0.000 1.025
1.284 2.142 7.135
1.351 0.000 3.485



# 10
La2GaNiSn | the Alexandria database | PBE-GGA | optimized geometry; energy of formation from the pure elements = -52.39 kJ/mol of atoms; space group = P4/mmm, No. 123; spin magnetization = 0.00 μB/cell
1.0
-4.978 -0.173 -2.052
-0.078 -5.349 0.639
-1.765 0.532 4.238
La Sn Ga Ni
2 1 1 1
Cartesian
-2.489 -0.086 -1.026
-0.039 -2.674 0.320
-3.411 -2.494 1.413
-0.883 0.266 2.119
0.000 0.000 0.000



# 11
NaCaPrZn | the Alexandria database | PBE-GGA | optimized geometry; energy of formation from the pure elements = 0.46 kJ/mol of atoms; space group = F-43m, No. 216; spin magnetization = 0.00 μB/cell
1.0
5.467 0.000 0.000
2.733 4.734 0.000
2.733 1.578 4.464
Ca Pr Zn Na
1 1 1 1
Cartesian
2.733 1.578 1.116
8.200 4.734 3.348
0.000 0.000 0.000
5.467 3.156 2.232



# 12
PmSeO | the Alexandria database | PBE-GGA | optimized geometry; relative energy among the computed polymorphs = 0 meV/atom; space group = Cmme, No. 67; E_form (uncorrected) = -56.46 kcal/mol of atoms; spin magnetization = 0.00 μB/cell
1.0
4.077 -0.366 0.888
-3.285 3.964 -2.866
2.298 -0.466 8.836
Pm O Se
2 2 2
Cartesian
0.568 3.112 3.658
2.522 0.021 3.200
4.405 0.392 4.588
-1.315 2.741 2.270
-2.464 2.974 -2.149
1.477 0.525 8.119